Entry 1:
This record from Alexandria via LeMat-Bulk describes LaSb2Pb after structural relaxation. The functional is PBE-GGA.

Calculated values
The uncorrected formation energy comes out at -268 meV/atom. The calculated density comes out at 8.06 g/cm³. Its total DFT energy (no corrections) is -4.49 eV per atom.

Cell lengths 7.8632, 7.8632, 7.8632 Å; angles 90.00, 90.00, 90.00 degrees
Fractional positions:
La1 0.0000 0.0000 0.0000
La2 0.0000 0.5000 0.5000
La3 0.5000 0.0000 0.5000
La4 0.5000 0.5000 0.0000
Sb1 0.0000 0.0000 0.5000
Sb2 0.0000 0.5000 0.0000
Sb3 0.2500 0.2500 0.7500
Sb4 0.2500 0.7500 0.2500
Sb5 0.5000 0.0000 0.0000
Sb6 0.5000 0.5000 0.5000
Sb7 0.7500 0.2500 0.2500
Sb8 0.7500 0.7500 0.7500
Pb1 0.2500 0.2500 0.2500
Pb2 0.2500 0.7500 0.7500
Pb3 0.7500 0.2500 0.7500
Pb4 0.7500 0.7500 0.2500

Entry 2:
This record from Alexandria via LeMat-Bulk describes La2SbPb after structural relaxation. The functional is PBE-GGA.

Calculated values
The uncorrected formation energy comes out at -804 meV/atom. The calculated density comes out at 8.10 g/cm³. Its total DFT energy (no corrections) is -5.23 eV per atom.

Cell lengths 6.8794, 8.6024, 4.2058 Å; angles 90.00, 90.12, 90.00 degrees
Fractional positions:
La1 0.2500 0.2500 0.0000
La2 0.2500 0.7500 0.0000
La3 0.7500 0.2500 0.0000
La4 0.7500 0.7500 0.0000
Sb1 0.0000 0.0000 0.5000
Sb2 0.5000 0.5000 0.5000
Pb1 0.0000 0.5000 0.5000
Pb2 0.5000 0.0000 0.5000